Density functional theory data (PBE with a Hubbard U) for crystalline Co2TePbO6 at its relaxed geometry.

Cell lengths 5.428, 5.428, 5.801 Å; angles 62.09, 62.10, 60.00 degrees
Last column: magnetic moment on the atom in μB.
Positions (direct):
Co (0.534, 0.534, 0.398)  2.71
Co (0.005, 0.005, 0.985)  0.28
Te (0.320, 0.320, 0.040)  0.12
Pb (0.789, 0.789, 0.632)  0.01
O (0.656, 0.243, 0.213)  0.19
O (0.243, 0.887, 0.214)  0.19
O (0.887, 0.656, 0.214)  0.19
O (0.310, 0.729, 0.773)  0.04
O (0.729, 0.188, 0.773)  0.04
O (0.188, 0.310, 0.773)  0.04

Calculated values
Total DFT energy (no corrections) (eV/atom): -5.602